1.
# BaSbTe2Pb

A geometry-optimized BaSbTe2Pb structure (GGA-PBE, the Alexandria database).

Lattice parameters (Å, degrees): 5.974 5.974 5.768 90.00 90.00 90.00
Positions (direct):
Ba: 0.000 0.000 0.000
Sb: 0.500 0.500 0.000
Te: 0.000 0.500 0.500
Te: 0.500 0.000 0.500
Pb: 0.500 0.500 0.500

Properties
volume	41.17	Å³/atom

2.
# BaSbTe2Pb

A geometry-optimized BaSbTe2Pb structure (GGA-PBE, the Alexandria database).

Lattice parameters (Å, degrees): 6.336 6.336 6.167 90.00 90.00 90.00
Positions (direct):
Ba: 0.000 0.000 0.000
Sb: 0.000 0.000 0.500
Te: 0.000 0.500 0.000
Te: 0.500 0.000 0.000
Pb: 0.500 0.500 0.500

Properties
volume	49.51	Å³/atom

What should be chosen as the least stable of them? Choose 2.

1.
# BaSc2Pb2

A geometry-optimized BaSc2Pb2 structure (GGA-PBE, the Alexandria database).

Lattice parameters (Å, degrees): 7.542 7.542 7.542 141.73 141.73 55.23
Positions (direct):
Ba: 0.000 0.000 0.000
Sc: 0.250 0.750 0.500
Sc: 0.750 0.250 0.500
Pb: 0.375 0.375 0.000
Pb: 0.625 0.625 0.000

Properties
volume	32.68	Å³/atom

2.
# BaSc2Pb2

A geometry-optimized BaSc2Pb2 structure (GGA-PBE, the Alexandria database).

Lattice parameters (Å, degrees): 9.105 9.105 3.430 90.00 90.00 90.00
Positions (direct):
Ba: 0.000 0.000 0.000
Ba: 0.500 0.500 0.000
Sc: 0.122 0.378 0.000
Sc: 0.378 0.878 0.000
Sc: 0.622 0.122 0.000
Sc: 0.878 0.622 0.000
Pb: 0.170 0.670 0.500
Pb: 0.330 0.170 0.500
Pb: 0.670 0.830 0.500
Pb: 0.830 0.330 0.500

Properties
volume	28.44	Å³/atom

3.
# BaSc2Pb2

A geometry-optimized BaSc2Pb2 structure (GGA-PBE, the Alexandria database).

Lattice parameters (Å, degrees): 9.219 9.219 3.483 90.00 90.00 90.00
Positions (direct):
Ba: 0.000 0.000 0.000
Ba: 0.500 0.500 0.000
Sc: 0.134 0.366 0.500
Sc: 0.366 0.866 0.500
Sc: 0.634 0.134 0.500
Sc: 0.866 0.634 0.500
Pb: 0.158 0.658 0.000
Pb: 0.342 0.158 0.000
Pb: 0.658 0.842 0.000
Pb: 0.842 0.342 0.000

Properties
volume	29.60	Å³/atom

What should be chosen as the least stable of them? Choose 3.